VASP calculation (PBE-GGA) on a geometry-optimized BaCuSbW2 structure.

a = 5.0157 Å, b = 5.0157 Å, c = 6.2925 Å
α = 90.00°, β = 90.00°, γ = 90.00°
Last column: nearest neighbours and their distance in Å.
Positions (direct):
Ba 0.0000 0.0000 0.0000  2 Sb 3.15
Cu 0.5000 0.5000 0.0000  4 Ba 3.55
Sb 0.0000 0.0000 0.5000  4 W 2.51
W 0.0000 0.5000 0.5000  2 Sb 2.51
W 0.5000 0.0000 0.5000  2 Sb 2.51

Symmetry: P4/mmm, No. 123
Raw total energy (eV per atom): -5.18
Fermi-level density of states (states/eV/cell): 4.09
Density (g/cm3): 7.24